Here is a relaxed structure of MoCl2F from the Alexandria database. Energies are from PBEsol.

Cell lengths 4.008, 6.426, 6.426 Å; angles 84.42, 71.83, 71.83 degrees
Sites, in units of the cell vectors:
Mo: 0.000 0.000 0.000
Mo: 0.750 0.500 0.500
F: 0.500 0.000 0.000
F: 0.250 0.500 0.500
Cl: 0.777 0.848 0.348
Cl: 0.973 0.152 0.652
Cl: 0.375 0.652 0.848
Cl: 0.875 0.348 0.152

Calculated values
Energy above the most stable polymorph in this dataset, eV per atom: 0.000
Total moment, μB/cell: 0.001
ΔE_f (raw), eV per atom: -1.063
VASP energy, eV per atom: -5.491
Fermi-level density of states, states/eV/atom: 0.67